# 1
CeHoTmTl | GGA-PBE | relaxed

## Properties
VASP energy in eV/atom: -4.298
Energy of formation in meV/atom: 40
Density of states at the Fermi level in states/eV/atom: 1.636

Cell lengths 5.3708, 5.3708, 5.3708 Å; angles 60.00, 60.00, 60.00 degrees
With the nearest neighbours (Å) after each atom.
Positions (direct):
Tm 0.7500 0.7500 0.7500  4 Tl 3.29, 4 Ce 3.29
Ce 0.0000 0.0000 0.0000  4 Tm 3.29, 4 Ho 3.29
Tl 0.5000 0.5000 0.5000  4 Ho 3.29, 4 Tm 3.29
Ho 0.2500 0.2500 0.2500  4 Ce 3.29, 4 Tl 3.29

# 2
Pr2Ga2Pd3 | GGA-PBE | relaxed

## Properties
VASP energy in eV/atom: -5.239
Energy of formation in meV/atom: -783
Density of states at the Fermi level in states/eV/atom: 0.719

Cell lengths 3.9736, 5.8010, 7.2472 Å; angles 111.66, 90.00, 110.03 degrees
With the nearest neighbours (Å) after each atom.
Positions (direct):
Pd 0.5000 0.0000 0.0000  4 Ga 2.68, 2 Pd 2.90
Pr 0.1280 0.2561 0.7637  4 Ga 3.07-3.22, 6 Pd 3.10-3.27
Pr 0.8720 0.7439 0.2363  4 Ga 3.07-3.22, 6 Pd 3.10-3.27
Pd 0.3739 0.7477 0.5655  3 Ga 2.60-2.70, 1 Pd 2.90
Pd 0.6261 0.2523 0.4345  3 Ga 2.60-2.70, 1 Pd 2.90
Ga 0.1530 0.3060 0.2211  5 Pd 2.60-2.70
Ga 0.8470 0.6940 0.7789  5 Pd 2.60-2.70

Copy entry 1 word for word.
CeHoTmTl | GGA-PBE | relaxed

## Properties
VASP energy in eV/atom: -4.298
Energy of formation in meV/atom: 40
Density of states at the Fermi level in states/eV/atom: 1.636

Cell lengths 5.3708, 5.3708, 5.3708 Å; angles 60.00, 60.00, 60.00 degrees
With the nearest neighbours (Å) after each atom.
Positions (direct):
Tm 0.7500 0.7500 0.7500  4 Tl 3.29, 4 Ce 3.29
Ce 0.0000 0.0000 0.0000  4 Tm 3.29, 4 Ho 3.29
Tl 0.5000 0.5000 0.5000  4 Ho 3.29, 4 Tm 3.29
Ho 0.2500 0.2500 0.2500  4 Ce 3.29, 4 Tl 3.29

Question: energy of formation of number 1 (CeHoTmTl)?
Answer: 40 meV/atom

Question: Among the records above, which one has the highest energy of formation?
Answer: CeHoTmTl